# 1
Compound: Sc2SbTe
Source: Alexandria
Functional: PBE-GGA
Structure: optimized geometry

## Properties
Formation energy from raw total energies   -0.7791 eV/atom
Space-group type   Cmmm
Crystal system   orthorhombic
Offset from the most stable computed form   278 meV/atom

a b c (Å): 3.613 3.613 7.586
angles (deg): 90.00 90.00 101.75
Element x y z (fractional)
Sc 0.000 0.000 0.247
Sc 0.000 0.000 0.753
Sb 0.500 0.500 0.000
Te 0.500 0.500 0.500


# 2
Compound: CeMgSi2
Source: Alexandria
Functional: PBE-GGA
Structure: optimized geometry

## Properties
Formation energy from raw total energies   -0.4732 eV/atom
Space-group type   Pnma
Crystal system   orthorhombic
Offset from the most stable computed form   57 meV/atom

a b c (Å): 13.730 4.237 11.213
angles (deg): 90.00 90.00 90.00
Element x y z (fractional)
Ce 0.057 0.250 0.232
Ce 0.194 0.750 0.953
Ce 0.306 0.250 0.453
Ce 0.443 0.750 0.732
Ce 0.557 0.250 0.268
Ce 0.694 0.750 0.547
Ce 0.806 0.250 0.047
Ce 0.943 0.750 0.768
Mg 0.061 0.250 0.548
Mg 0.191 0.750 0.654
Mg 0.309 0.250 0.154
Mg 0.439 0.750 0.048
Mg 0.561 0.250 0.952
Mg 0.691 0.750 0.846
Mg 0.809 0.250 0.346
Mg 0.939 0.750 0.452
Si 0.025 0.250 0.963
Si 0.107 0.250 0.779
Si 0.135 0.750 0.426
Si 0.216 0.750 0.238
Si 0.284 0.250 0.738
Si 0.365 0.250 0.926
Si 0.393 0.750 0.279
Si 0.475 0.750 0.463
Si 0.525 0.250 0.537
Si 0.607 0.250 0.721
Si 0.635 0.750 0.074
Si 0.716 0.750 0.262
Si 0.784 0.250 0.762
Si 0.865 0.250 0.574
Si 0.893 0.750 0.221
Si 0.975 0.750 0.037


# 3
Compound: K2AlBr
Source: Alexandria
Functional: PBE-GGA
Structure: optimized geometry

## Properties
Formation energy from raw total energies   -0.3973 eV/atom
Space-group type   P4mm
Crystal system   tetragonal
Offset from the most stable computed form   121 meV/atom

a b c (Å): 4.044 4.044 10.511
angles (deg): 90.00 90.00 90.00
Element x y z (fractional)
K 0.000 0.000 0.000
K 0.500 0.500 0.437
Al 0.000 0.000 0.656
Br 0.500 0.500 0.136


# 4
Compound: HS2Cl
Source: Alexandria
Functional: PBE-GGA
Structure: optimized geometry

## Properties
Space-group type   C222_1
Crystal system   orthorhombic
Offset from the most stable computed form   0 meV/atom

a b c (Å): 6.564 6.564 4.261
angles (deg): 90.00 90.00 113.76
Element x y z (fractional)
H 0.180 0.180 0.000
H 0.820 0.820 0.500
S 0.047 0.225 0.703
S 0.225 0.047 0.297
S 0.775 0.953 0.797
S 0.953 0.775 0.203
Cl 0.329 0.671 0.750
Cl 0.671 0.329 0.250


# 5
Compound: HgTeBr2
Source: Alexandria
Functional: PBE-GGA
Structure: optimized geometry

## Properties
Formation energy from raw total energies   -0.1350 eV/atom
Space-group type   Cmm2
Crystal system   orthorhombic
Offset from the most stable computed form   75 meV/atom

a b c (Å): 4.840 4.840 9.429
angles (deg): 90.00 90.00 131.44
Element x y z (fractional)
Hg 0.000 0.000 0.000
Te 0.500 0.500 0.782
Br 0.000 0.000 0.570
Br 0.500 0.500 0.198


# 6
Compound: Ac2PaAgSe6
Source: Alexandria
Functional: PBE-GGA
Structure: optimized geometry

## Properties
Formation energy from raw total energies   -1.5163 eV/atom
Space-group type   P2_1/c
Crystal system   monoclinic

a b c (Å): 7.104 8.026 12.137
angles (deg): 90.00 122.54 90.00
Element x y z (fractional)
Ac 0.202 0.104 0.246
Ac 0.202 0.396 0.746
Ac 0.798 0.604 0.254
Ac 0.798 0.896 0.754
Pa 0.500 0.000 0.000
Pa 0.500 0.500 0.500
Ag 0.000 0.000 0.500
Ag 0.000 0.500 0.000
Se 0.121 0.175 0.943
Se 0.121 0.325 0.443
Se 0.274 0.696 0.935
Se 0.274 0.804 0.435
Se 0.380 0.041 0.744
Se 0.380 0.459 0.244
Se 0.620 0.541 0.756
Se 0.620 0.959 0.256
Se 0.726 0.196 0.565
Se 0.726 0.304 0.065
Se 0.879 0.675 0.557
Se 0.879 0.825 0.057


# 7
Compound: CeNpN3
Source: Alexandria
Functional: PBE-GGA
Structure: optimized geometry

## Properties
Formation energy from raw total energies   -1.2499 eV/atom
Space-group type   Pnma
Crystal system   orthorhombic

a b c (Å): 5.963 8.352 5.825
angles (deg): 90.00 90.00 90.00
Element x y z (fractional)
Ce 0.050 0.250 0.011
Ce 0.450 0.750 0.511
Ce 0.550 0.250 0.489
Ce 0.950 0.750 0.989
Np 0.000 0.000 0.500
Np 0.000 0.500 0.500
Np 0.500 0.000 0.000
Np 0.500 0.500 0.000
N 0.043 0.750 0.382
N 0.191 0.560 0.791
N 0.191 0.940 0.791
N 0.309 0.060 0.291
N 0.309 0.440 0.291
N 0.457 0.250 0.882
N 0.543 0.750 0.118
N 0.691 0.560 0.709
N 0.691 0.940 0.709
N 0.809 0.060 0.209
N 0.809 0.440 0.209
N 0.957 0.250 0.618


# 8
Compound: Mg2NbMoBr
Source: Alexandria
Functional: PBE-GGA
Structure: optimized geometry

## Properties
Formation energy from raw total energies   1.4145 eV/atom
Space-group type   P4/mmm
Crystal system   tetragonal

a b c (Å): 5.495 5.495 4.873
angles (deg): 90.00 90.00 90.00
Element x y z (fractional)
Mg 0.000 0.500 0.000
Mg 0.500 0.000 0.000
Nb 0.000 0.000 0.000
Mo 0.500 0.500 0.500
Br 0.000 0.000 0.500


Please write out number 3 again, unchanged.
Compound: K2AlBr
Source: Alexandria
Functional: PBE-GGA
Structure: optimized geometry

## Properties
Formation energy from raw total energies   -0.3973 eV/atom
Space-group type   P4mm
Crystal system   tetragonal
Offset from the most stable computed form   121 meV/atom

a b c (Å): 4.044 4.044 10.511
angles (deg): 90.00 90.00 90.00
Element x y z (fractional)
K 0.000 0.000 0.000
K 0.500 0.500 0.437
Al 0.000 0.000 0.656
Br 0.500 0.500 0.136